DFT (PBE) results for a relaxed structure of KAgBr2.

Results
- Volume: 363.8 Å³ per cell
- Uncorrected formation energy: -982 meV per atom

Cell lengths 4.3574, 4.3574, 22.1265 Å; angles 90.00, 90.00, 120.00 degrees
Space group R3m (No. 160, hexagonal axes)
Symmetry-distinct sites (fractional):
K 0.0000 0.0000 0.0000 x3
Ag 0.0000 0.0000 0.8312 x3
Br 0.0000 0.0000 0.2358 x3
Br 0.0000 0.0000 0.4288 x3

=====

DFT (PBE) results for a relaxed structure of PuSn3Au2.

Results
- Volume: 292.1 Å³ per cell

Cell lengths 4.473, 15.109, 4.322 Å; angles 90.00, 90.00, 90.00 degrees
Space group Pmmn (No. 59, origin choice 2)
Symmetry-distinct sites (fractional):
Pu 0.250 0.250 0.231 x2
Sn 0.250 0.079 0.733 x4
Sn 0.250 0.750 0.267 x2
Au 0.250 0.603 0.765 x4

=====

DFT (PBE) results for a relaxed structure of Er3Fe8Os.

Results
- Volume: 531.0 Å³ per cell

Cell lengths 4.9973, 4.9973, 24.5535 Å; angles 90.00, 90.00, 120.00 degrees
Space group R3m (No. 160, hexagonal axes)
Symmetry-distinct sites (fractional):
Er 0.0000 0.0000 0.0000 x3
Er 0.0000 0.0000 0.1279 x3
Er 0.0000 0.0000 0.6198 x3
Fe 0.0000 0.0000 0.3118 x3
Fe 0.0000 0.0000 0.8126 x3
Fe 0.0010 0.5005 0.5597 x9
Fe 0.0039 0.5020 0.0646 x9
Os 0.0000 0.0000 0.4983 x3

=====

| no. | DFT total energy (eV per atom) |
| --- | --- |
| 1 | -2.806 |
| 2 | -5.721 |
| 3 | -7.755 |